# 1
A plane-wave DFT calculation with GGA-PBE was carried out for crystalline AcMg2Hg2 at its relaxed geometry.

Cell lengths 4.551, 4.551, 7.277 Å; angles 108.22, 108.22, 90.00 degrees
Sites, in units of the cell vectors:
Ac 0.000 0.000 0.000
Mg 0.750 0.250 0.500
Mg 0.250 0.750 0.500
Hg 0.614 0.614 0.228
Hg 0.386 0.386 0.772

Energy of formation ... -0.38 eV per atom
E above lowest polymorph ... 0 meV/atom
DFT total energy ... -1.959 eV per atom

=====

# 2
A plane-wave DFT calculation with GGA-PBE was carried out for crystalline AcMg5Hg2 at its relaxed geometry.

Cell lengths 4.590, 7.165, 7.165 Å; angles 71.34, 71.32, 71.32 degrees
Sites, in units of the cell vectors:
Ac 0.000 0.000 0.000
Mg 0.000 0.500 0.500
Mg 0.652 0.532 0.165
Mg 0.348 0.468 0.835
Mg 0.348 0.835 0.468
Mg 0.652 0.165 0.532
Hg 0.739 0.761 0.761
Hg 0.261 0.239 0.239

Energy of formation ... -0.25 eV per atom
DFT total energy ... -1.839 eV per atom